A relaxed structure of La3ZnO, computed with PBE-GGA.

a = 5.027 Å, b = 5.027 Å, c = 5.027 Å
α = 90.00°, β = 90.00°, γ = 90.00°
Fractional positions:
1 La 0.000 0.000 0.500
2 La 0.000 0.500 0.000
3 La 0.500 0.000 0.000
4 Zn 0.500 0.500 0.500
5 O 0.000 0.000 0.000

**Mass density**: 6.5 g/cm3
**D(E_F)**: 3.49 states/eV/cell
**Total magnetization**: 0.00 μB/f.u.
**VASP energy**: -5.45 eV per atom

=====

A relaxed structure of RbAcAgSe2, computed with PBE-GGA.

a = 8.137 Å, b = 5.144 Å, c = 8.994 Å
α = 90.00°, β = 99.32°, γ = 90.00°
Fractional positions:
1 Rb 0.000 0.131 0.250
2 Rb 0.000 0.869 0.750
3 Ac 0.500 0.491 0.750
4 Ac 0.500 0.509 0.250
5 Ag 0.500 0.000 0.000
6 Ag 0.500 0.000 0.500
7 Se 0.256 0.352 0.967
8 Se 0.256 0.648 0.467
9 Se 0.744 0.352 0.533
10 Se 0.744 0.648 0.033

**Mass density**: 5.2 g/cm3
**D(E_F)**: 0.56 states/eV/cell
**Total magnetization**: 0.00 μB/f.u.
**VASP energy**: -4.04 eV per atom

=====

A relaxed structure of KInH3, computed with PBE-GGA.

a = 5.232 Å, b = 5.553 Å, c = 7.281 Å
α = 106.60°, β = 107.72°, γ = 90.91°
Fractional positions:
1 K 0.000 0.000 0.000
2 K 0.260 0.635 0.485
3 In 0.488 0.518 0.023
4 In 0.743 0.081 0.466
5 H 0.002 0.185 0.390
6 H 0.459 0.763 0.880
7 H 0.463 0.873 0.258
8 H 0.611 0.323 0.615
9 H 0.861 0.862 0.604
10 H 0.871 0.605 0.130

**Energy relative to the lowest polymorph listed for this composition**: 0.000 eV/f.u.
**Mass density**: 2.7 g/cm3
**Total magnetization**: 0.00 μB/f.u.
**VASP energy**: -2.80 eV per atom

=====

A relaxed structure of LaTl2B, computed with PBE-GGA.

a = 8.190 Å, b = 8.190 Å, c = 5.902 Å
α = 90.00°, β = 90.00°, γ = 90.00°
Fractional positions:
1 La 0.000 0.000 0.000
2 La 0.000 0.500 0.250
3 La 0.500 0.000 0.750
4 La 0.500 0.500 0.500
5 Tl 0.167 0.250 0.625
6 Tl 0.250 0.667 0.875
7 Tl 0.250 0.833 0.375
8 Tl 0.333 0.250 0.125
9 Tl 0.667 0.750 0.125
10 Tl 0.750 0.167 0.375
11 Tl 0.750 0.333 0.875
12 Tl 0.833 0.750 0.625
13 B 0.000 0.000 0.500
14 B 0.000 0.500 0.750
15 B 0.500 0.000 0.250
16 B 0.500 0.500 0.000

**Energy relative to the lowest polymorph listed for this composition**: 0.000 eV/f.u.
**Mass density**: 9.4 g/cm3
**D(E_F)**: 3.29 states/eV/cell
**DFT formation energy**: 1.21 eV per formula unit
**Total magnetization**: 0.00 μB/f.u.
**VASP energy**: -3.78 eV per atom

=====

A relaxed structure of Ag4Pd2Pt, computed with PBE-GGA.

a = 7.059 Å, b = 5.173 Å, c = 7.463 Å
α = 90.00°, β = 116.84°, γ = 90.00°
Fractional positions:
1 Ag 0.109 0.001 0.222
2 Ag 0.109 0.499 0.222
3 Ag 0.118 0.750 0.574
4 Ag 0.261 0.250 0.790
5 Ag 0.739 0.750 0.210
6 Ag 0.882 0.250 0.426
7 Ag 0.891 0.501 0.778
8 Ag 0.891 0.999 0.778
9 Pd 0.301 0.750 0.000
10 Pd 0.491 0.250 0.577
11 Pd 0.509 0.750 0.423
12 Pd 0.699 0.250 0.000
13 Pt 0.451 0.250 0.202
14 Pt 0.549 0.750 0.798

**Energy relative to the lowest polymorph listed for this composition**: 0.000 eV/f.u.
**Mass density**: 11.5 g/cm3
**D(E_F)**: 8.58 states/eV/cell
**DFT formation energy**: 0.73 eV per formula unit
**Total magnetization**: 0.00 μB/f.u.
**VASP energy**: -3.87 eV per atom

=====

A relaxed structure of Pr2Ru2Cl, computed with PBE-GGA.

a = 7.515 Å, b = 4.234 Å, c = 8.534 Å
α = 90.00°, β = 107.30°, γ = 90.00°
Fractional positions:
1 Pr 0.081 0.000 0.233
2 Pr 0.419 0.500 0.767
3 Pr 0.581 0.500 0.233
4 Pr 0.919 0.000 0.767
5 Ru 0.164 0.500 0.007
6 Ru 0.336 0.000 0.993
7 Ru 0.664 0.000 0.007
8 Ru 0.836 0.500 0.993
9 Cl 0.000 0.500 0.500
10 Cl 0.500 0.000 0.500

**Mass density**: 6.7 g/cm3
**D(E_F)**: 9.45 states/eV/cell
**Total magnetization**: 0.00 μB/f.u.
**VASP energy**: -6.72 eV per atom

=====

A relaxed structure of HfTiSeBr2, computed with PBE-GGA.

a = 5.010 Å, b = 5.010 Å, c = 5.109 Å
α = 90.00°, β = 90.00°, γ = 90.00°
Fractional positions:
1 Hf 0.000 0.000 0.000
2 Ti 0.500 0.500 0.500
3 Se 0.500 0.500 0.000
4 Br 0.000 0.500 0.500
5 Br 0.500 0.000 0.500

**Energy relative to the lowest polymorph listed for this composition**: 0.000 eV/f.u.
**Mass density**: 6.0 g/cm3
**D(E_F)**: 5.83 states/eV/cell
**Total magnetization**: 3.43 μB/f.u.
**VASP energy**: -4.90 eV per atom

=====

A relaxed structure of SiPb3I, computed with PBE-GGA.

a = 5.629 Å, b = 5.629 Å, c = 5.629 Å
α = 90.00°, β = 90.00°, γ = 90.00°
Fractional positions:
1 Si 0.000 0.000 0.000
2 Pb 0.000 0.000 0.500
3 Pb 0.000 0.500 0.000
4 Pb 0.500 0.000 0.000
5 I 0.500 0.500 0.500

**Energy relative to the lowest polymorph listed for this composition**: 0.000 eV/f.u.
**Mass density**: 7.2 g/cm3
**D(E_F)**: 7.60 states/eV/cell
**Total magnetization**: 0.00 μB/f.u.
**VASP energy**: -3.25 eV per atom

=====

A relaxed structure of NaMgBiRh, computed with PBE-GGA.

a = 6.822 Å, b = 6.822 Å, c = 6.822 Å
α = 90.00°, β = 90.00°, γ = 90.00°
Fractional positions:
1 Na 0.000 0.000 0.000
2 Na 0.000 0.500 0.500
3 Na 0.500 0.000 0.500
4 Na 0.500 0.500 0.000
5 Mg 0.250 0.250 0.750
6 Mg 0.250 0.750 0.250
7 Mg 0.750 0.250 0.250
8 Mg 0.750 0.750 0.750
9 Bi 0.250 0.250 0.250
10 Bi 0.250 0.750 0.750
11 Bi 0.750 0.250 0.750
12 Bi 0.750 0.750 0.250
13 Rh 0.000 0.000 0.500
14 Rh 0.000 0.500 0.000
15 Rh 0.500 0.000 0.000
16 Rh 0.500 0.500 0.500

**Mass density**: 7.5 g/cm3
**D(E_F)**: 8.86 states/eV/cell
**DFT formation energy**: -0.73 eV per formula unit
**Total magnetization**: 0.00 μB/f.u.
**VASP energy**: -3.72 eV per atom

=====

A relaxed structure of PrErLuHg, computed with PBE-GGA.

a = 7.695 Å, b = 7.695 Å, c = 7.695 Å
α = 90.00°, β = 90.00°, γ = 90.00°
Fractional positions:
1 Pr 0.000 0.000 0.000
2 Pr 0.000 0.500 0.500
3 Pr 0.500 0.000 0.500
4 Pr 0.500 0.500 0.000
5 Er 0.000 0.000 0.500
6 Er 0.000 0.500 0.000
7 Er 0.500 0.000 0.000
8 Er 0.500 0.500 0.500
9 Lu 0.250 0.250 0.750
10 Lu 0.250 0.750 0.250
11 Lu 0.750 0.250 0.250
12 Lu 0.750 0.750 0.750
13 Hg 0.250 0.250 0.250
14 Hg 0.250 0.750 0.750
15 Hg 0.750 0.250 0.750
16 Hg 0.750 0.750 0.250

**Mass density**: 10.0 g/cm3
**D(E_F)**: 20.69 states/eV/cell
**DFT formation energy**: -0.26 eV per formula unit
**Total magnetization**: 0.00 μB/f.u.
**VASP energy**: -3.61 eV per atom

=====

A relaxed structure of YRuW2, computed with PBE-GGA.

a = 3.840 Å, b = 3.840 Å, c = 4.918 Å
α = 90.00°, β = 90.00°, γ = 90.00°
Fractional positions:
1 Y 0.000 0.000 0.000
2 Ru 0.500 0.500 0.000
3 W 0.000 0.500 0.500
4 W 0.500 0.000 0.500

**Energy relative to the lowest polymorph listed for this composition**: 1.109 eV/f.u.
**Mass density**: 12.8 g/cm3
**D(E_F)**: 3.71 states/eV/cell
**DFT formation energy**: 1.80 eV per formula unit
**Total magnetization**: 0.00 μB/f.u.
**VASP energy**: -9.96 eV per atom

=====

A relaxed structure of Dy4Ga12Co, computed with PBE-GGA.

a = 7.420 Å, b = 7.420 Å, c = 7.420 Å
α = 109.47°, β = 109.47°, γ = 109.47°
Fractional positions:
1 Dy 0.000 0.000 0.500
2 Dy 0.000 0.500 0.000
3 Dy 0.500 0.000 0.000
4 Dy 0.500 0.500 0.500
5 Ga 0.000 0.282 0.282
6 Ga 0.000 0.718 0.718
7 Ga 0.250 0.500 0.750
8 Ga 0.250 0.750 0.500
9 Ga 0.282 0.000 0.282
10 Ga 0.282 0.282 0.000
11 Ga 0.500 0.250 0.750
12 Ga 0.500 0.750 0.250
13 Ga 0.718 0.000 0.718
14 Ga 0.718 0.718 0.000
15 Ga 0.750 0.250 0.500
16 Ga 0.750 0.500 0.250
17 Co 0.000 0.000 0.000

**Mass density**: 8.2 g/cm3
**D(E_F)**: 7.90 states/eV/cell
**DFT formation energy**: -9.52 eV per formula unit
**Total magnetization**: 0.00 μB/f.u.
**VASP energy**: -4.20 eV per atom